Entry P
The following is a GGA-PBE calculation of crystalline PmSm6Th at its relaxed geometry, from the Alexandria database.

Properties
D(E_F) ... 13.8 states/eV/cell

Cell lengths 6.630, 6.840, 6.887 Å; angles 61.30, 80.80, 89.45 degrees
Space group P-1 (No. 2)
One atom of each set of equivalent atoms:
Pm 0.000 0.000 0.000 x1
Sm 0.235 0.575 0.520 x2
Sm 0.254 0.543 0.006 x2
Sm 0.271 0.091 0.485 x2
Th 0.500 0.000 0.000 x1

Entry Q
The following is a GGA-PBE calculation of crystalline PmSm6Th at its relaxed geometry, from the Alexandria database.

Properties
D(E_F) ... 10.8 states/eV/cell

Cell lengths 5.123, 5.123, 10.240 Å; angles 90.00, 90.00, 90.00 degrees
Space group P4/mmm (No. 123)
One atom of each set of equivalent atoms:
Pm 0.000 0.000 0.000 x1
Sm 0.000 0.500 0.254 x4
Sm 0.500 0.500 0.000 x1
Sm 0.500 0.500 0.500 x1
Th 0.000 0.000 0.500 x1

Last place for stability: entry P